The following is a DFT calculation (PBE+U) of an optimized crystal structure of VAuO2.

a b c (Å): 2.9418 5.5827 5.7592
angles (deg): 62.94 88.90 74.85
With the nearest neighbours (Å) after each atom.
Positions (direct):
V1 0.0000 0.0000 0.0000  3 O 1.65-1.81
Au1 0.6482 0.7141 0.8217  1 O 2.33
O1 0.5149 0.9548 0.1990  2 V 1.81
O2 0.8503 0.3207 0.7535  1 V 1.65

Computed properties:
* symmetry: No. 1
* VASP energy: -6.0741 eV per atom